No. 1
{"formula": "SmErCl3", "functional": "GGA-PBE", "state": "relaxed", "formation_energy_uncorrected_mev_per_atom": -1829.2, "dft_energy_ha_per_atom": -0.17616, "magmom_total_mub_per_cell": 0.0, "lattice": [[3.759, 0.000, 0.756], [1.430, 7.852, 2.616], [-0.002, -0.028, 9.733]], "species": ["Sm", "Sm", "Er", "Er", "Cl", "Cl", "Cl", "Cl", "Cl", "Cl"], "fractional_positions": [[0.860, 0.989, 0.290], [0.140, 0.011, 0.710], [0.419, 0.207, 0.955], [0.581, 0.793, 0.045], [0.044, 0.664, 0.249], [0.956, 0.336, 0.751], [0.782, 0.323, 0.114], [0.339, 0.814, 0.508], [0.661, 0.186, 0.492], [0.218, 0.677, 0.886]]}



No. 2
{"formula": "Mg2FePt", "functional": "GGA-PBE", "state": "relaxed", "dft_energy_ha_per_atom": -0.15921, "magmom_total_mub_per_cell": 5.3, "lattice": [[7.171, 0.000, 0.000], [0.000, 7.171, 0.000], [3.586, 3.586, 2.711]], "species": ["Mg", "Mg", "Mg", "Mg", "Fe", "Fe", "Pt", "Pt"], "fractional_positions": [[0.875, 0.882, 0.750], [0.632, 0.125, 0.250], [0.375, 0.368, 0.750], [0.118, 0.625, 0.250], [0.250, 0.750, 0.500], [0.500, 0.500, 0.000], [0.750, 0.250, 0.500], [0.000, 0.000, 0.000]]}



No. 3
{"formula": "Cs3La3CeS8", "functional": "GGA-PBE", "state": "relaxed", "formation_energy_uncorrected_mev_per_atom": -1881.2, "dft_energy_ha_per_atom": -0.20706, "magmom_total_mub_per_cell": 0.0, "lattice": [[-8.316, -1.254, -1.648], [5.875, -1.842, -5.962], [-0.576, -5.960, 7.440]], "species": ["Cs", "Cs", "Cs", "S", "S", "S", "S", "S", "S", "S", "S", "La", "La", "La", "Ce"], "fractional_positions": [[0.500, 0.500, 0.000], [0.000, 0.500, 0.000], [0.000, 0.000, 0.000], [0.782, 0.041, 0.323], [0.218, 0.435, 0.677], [0.782, 0.565, 0.323], [0.272, 0.543, 0.315], [0.258, 0.041, 0.323], [0.742, 0.959, 0.677], [0.218, 0.959, 0.677], [0.728, 0.457, 0.685], [0.000, 0.500, 0.500], [0.500, 0.000, 0.500], [0.500, 0.500, 0.500], [0.000, 0.000, 0.500]]}



No. 4
{"formula": "CePa2Ga6", "functional": "GGA-PBE", "state": "relaxed", "dft_energy_ha_per_atom": -0.18482, "magmom_total_mub_per_cell": 1.1, "relative_energy_ev_per_atom": 0.148, "lattice": [[-3.996, 1.313, 1.663], [-5.433, -3.473, -4.163], [-3.822, -6.354, 1.981]], "species": ["Pa", "Pa", "Ga", "Ga", "Ga", "Ga", "Ga", "Ga", "Ce"], "fractional_positions": [[0.104, 0.396, 0.396], [0.896, 0.604, 0.604], [0.693, 0.603, 0.010], [0.500, 0.298, 0.702], [0.500, 0.702, 0.298], [0.693, 0.010, 0.603], [0.307, 0.990, 0.397], [0.307, 0.397, 0.990], [0.000, 0.000, 0.000]]}



Repeat the fourth record exactly.
{"formula": "CePa2Ga6", "functional": "GGA-PBE", "state": "relaxed", "dft_energy_ha_per_atom": -0.18482, "magmom_total_mub_per_cell": 1.1, "relative_energy_ev_per_atom": 0.148, "lattice": [[-3.996, 1.313, 1.663], [-5.433, -3.473, -4.163], [-3.822, -6.354, 1.981]], "species": ["Pa", "Pa", "Ga", "Ga", "Ga", "Ga", "Ga", "Ga", "Ce"], "fractional_positions": [[0.104, 0.396, 0.396], [0.896, 0.604, 0.604], [0.693, 0.603, 0.010], [0.500, 0.298, 0.702], [0.500, 0.702, 0.298], [0.693, 0.010, 0.603], [0.307, 0.990, 0.397], [0.307, 0.397, 0.990], [0.000, 0.000, 0.000]]}